Version a
Entry from the Alexandria database: a PBEsol-optimized structure of Tc2WAu (SCAN).

Results
- Magnetic moment: 0.00 μB/f.u.

a b c (Å): 2.743 2.743 8.022
angles (deg): 90.00 90.00 90.00
Space group P4mm (No. 99)
One atom of each set of equivalent atoms:
Tc: 0.000 0.000 0.000 [1 per cell]
Tc: 0.500 0.500 0.216 [1 per cell]
W: 0.000 0.000 0.465 [1 per cell]
Au: 0.500 0.500 0.731 [1 per cell]



Version b
Entry from the Alexandria database: a PBEsol-optimized structure of Tc2WAu (SCAN).

Results
- Magnetic moment: 0.00 μB/f.u.

a b c (Å): 2.738 2.738 8.087
angles (deg): 90.00 90.00 90.00
Space group P4/mmm (No. 123)
One atom of each set of equivalent atoms:
Tc: 0.000 0.000 0.237 [2 per cell]
W: 0.500 0.500 0.000 [1 per cell]
Au: 0.500 0.500 0.500 [1 per cell]



Version c
Entry from the Alexandria database: a PBEsol-optimized structure of Tc2WAu (SCAN).

Results
- Magnetic moment: 0.00 μB/f.u.

a b c (Å): 2.7571 2.7571 27.6163
angles (deg): 90.00 90.00 120.00
Space group R3m (No. 160, hexagonal axes)
One atom of each set of equivalent atoms:
Tc: 0.0000 0.0000 0.0000 [3 per cell]
Tc: 0.0000 0.0000 0.2589 [3 per cell]
W: 0.0000 0.0000 0.7504 [3 per cell]
Au: 0.0000 0.0000 0.5046 [3 per cell]



Least stable = version b



Version a
Entry from the Alexandria database: a PBEsol-optimized structure of YTcAu (SCAN).

Results
- Magnetic moment: 0.00 μB/f.u.

a b c (Å): 4.4346 4.4346 3.5175
angles (deg): 90.00 90.00 120.00
Space group P-6m2 (No. 187)
One atom of each set of equivalent atoms:
Y: 0.0000 0.0000 0.0000 [1 per cell]
Tc: 0.3333 0.6667 0.5000 [1 per cell]
Au: 0.6667 0.3333 0.5000 [1 per cell]



Version b
Entry from the Alexandria database: a PBEsol-optimized structure of YTcAu (SCAN).

Results
- Magnetic moment: 2.55 μB/f.u.

a b c (Å): 6.398 6.398 6.398
angles (deg): 90.00 90.00 90.00
Space group F-43m (No. 216)
One atom of each set of equivalent atoms:
Y: 0.000 0.000 0.000 [4 per cell]
Tc: 0.250 0.250 0.250 [4 per cell]
Au: 0.000 0.000 0.500 [4 per cell]



Least stable = version b